KTl3 | PBEsol | optimized geometry

Output
* calculated formation energy: -0.070 eV/atom
* VASP energy: -2.326 eV/atom
* calculated volume: 123.05 Å³/cell
* D(E_F): 0.43 states/eV/atom

a = 3.476 Å, b = 4.935 Å, c = 7.339 Å
α = 90.00°, β = 102.17°, γ = 90.00°
Space group P2/m (No. 10)
Inequivalent atoms, fractional coordinates:
1 K 0.000 0.000 0.000 (multiplicity 1)
2 Tl 0.000 0.000 0.500 (multiplicity 1)
3 Tl 0.412 0.500 0.716 (multiplicity 2)

Be2PtPb | PBEsol | optimized geometry

Output
* calculated formation energy: 0.009 eV/atom
* VASP energy: -4.732 eV/atom
* calculated volume: 129.66 Å³/cell
* D(E_F): 0.29 states/eV/atom

a = 3.052 Å, b = 3.485 Å, c = 12.193 Å
α = 90.00°, β = 90.00°, γ = 90.00°
Space group Imm2 (No. 44)
Inequivalent atoms, fractional coordinates:
1 Be 0.000 0.000 0.000 (multiplicity 2)
2 Be 0.000 0.500 0.135 (multiplicity 2)
3 Pt 0.000 0.500 0.639 (multiplicity 2)
4 Pb 0.000 0.000 0.360 (multiplicity 2)

In2OsCl2 | PBEsol | optimized geometry

Output
* raw formation energy: 0.54 eV/atom
* VASP energy: -3.895 eV/atom
* calculated volume: 249.35 Å³/cell
* D(E_F): 1.05 states/eV/atom

a = 5.852 Å, b = 5.852 Å, c = 7.282 Å
α = 90.00°, β = 90.00°, γ = 90.00°
Space group I4/mmm (No. 139)
Inequivalent atoms, fractional coordinates:
1 In 0.000 0.500 0.250 (multiplicity 4)
2 Os 0.000 0.000 0.000 (multiplicity 2)
3 Cl 0.000 0.000 0.309 (multiplicity 4)

Al4Ag3 | PBEsol | optimized geometry

Output
* calculated formation energy: -0.037 eV/atom
* VASP energy: -3.794 eV/atom
* calculated volume: 227.72 Å³/cell
* energy above the lowest structure with this stoichiometry: 21 kJ/mol of formula units
* D(E_F): 0.32 states/eV/atom

a = 9.356 Å, b = 3.935 Å, c = 6.303 Å
α = 90.00°, β = 101.06°, γ = 90.00°
Space group Cm (No. 8)
Inequivalent atoms, fractional coordinates:
1 Al 0.000 0.000 0.000 (multiplicity 2)
2 Al 0.078 0.500 0.702 (multiplicity 2)
3 Al 0.161 0.000 0.424 (multiplicity 2)
4 Al 0.286 0.000 0.855 (multiplicity 2)
5 Ag 0.209 0.500 0.130 (multiplicity 2)
6 Ag 0.372 0.500 0.578 (multiplicity 2)
7 Ag 0.438 0.000 0.275 (multiplicity 2)

Sc2AuBr | PBEsol | optimized geometry

Output
* raw formation energy: -0.59 eV/atom
* VASP energy: -5.345 eV/atom
* calculated volume: 157.87 Å³/cell
* D(E_F): 1.37 states/eV/atom

a = 4.657 Å, b = 4.657 Å, c = 7.280 Å
α = 90.00°, β = 90.00°, γ = 90.00°
Space group I4/mmm (No. 139)
Inequivalent atoms, fractional coordinates:
1 Sc 0.000 0.500 0.250 (multiplicity 4)
2 Au 0.000 0.000 0.000 (multiplicity 2)
3 Br 0.000 0.000 0.500 (multiplicity 2)

Tc2Ru2Se | PBEsol | optimized geometry

Output
* raw formation energy: 0.51 eV/atom
* VASP energy: -8.836 eV/atom
* calculated volume: 155.54 Å³/cell
* D(E_F): 1.14 states/eV/atom

a = 3.478 Å, b = 3.478 Å, c = 12.859 Å
α = 90.00°, β = 90.00°, γ = 90.00°
Space group I4/mmm (No. 139)
Inequivalent atoms, fractional coordinates:
1 Tc 0.000 0.000 0.104 (multiplicity 4)
2 Ru 0.000 0.500 0.250 (multiplicity 4)
3 Se 0.000 0.000 0.500 (multiplicity 2)

Na2As2Pd | PBEsol | optimized geometry

Output
* calculated formation energy: -0.452 eV/atom
* VASP energy: -4.246 eV/atom
* calculated volume: 197.28 Å³/cell
* D(E_F): 0.35 states/eV/atom

a = 6.404 Å, b = 6.404 Å, c = 4.811 Å
α = 90.00°, β = 90.00°, γ = 90.00°
Space group P4/mbm (No. 127)
Inequivalent atoms, fractional coordinates:
1 Na 0.174 0.326 0.000 (multiplicity 4)
2 As 0.138 0.638 0.500 (multiplicity 4)
3 Pd 0.000 0.000 0.500 (multiplicity 2)

Co2SbRh | PBEsol | optimized geometry

Output
* raw formation energy: 0.38 eV/atom
* VASP energy: -6.659 eV/atom
* calculated volume: 173.40 Å³/cell
* D(E_F): 1.38 states/eV/atom

a = 2.9437 Å, b = 2.9437 Å, c = 23.1051 Å
α = 90.00°, β = 90.00°, γ = 120.00°
Space group R3m (No. 160, hexagonal axes)
Inequivalent atoms, fractional coordinates:
1 Co 0.0000 0.0000 0.0000 (multiplicity 3)
2 Co 0.0000 0.0000 0.2611 (multiplicity 3)
3 Sb 0.0000 0.0000 0.5074 (multiplicity 3)
4 Rh 0.0000 0.0000 0.7508 (multiplicity 3)

LiLu2Ga | PBEsol | optimized geometry

Output
* calculated formation energy: -0.310 eV/atom
* VASP energy: -4.073 eV/atom
* calculated volume: 334.22 Å³/cell
* D(E_F): 0.63 states/eV/atom

a = 6.940 Å, b = 6.940 Å, c = 6.940 Å
α = 90.00°, β = 90.00°, γ = 90.00°
Space group Fm-3m (No. 225)
Inequivalent atoms, fractional coordinates:
1 Li 0.000 0.000 0.000 (multiplicity 4)
2 Lu 0.250 0.250 0.250 (multiplicity 8)
3 Ga 0.000 0.000 0.500 (multiplicity 4)

Y2RhAu | PBEsol | optimized geometry

Output
* calculated formation energy: -0.832 eV/atom
* VASP energy: -7.259 eV/atom
* calculated volume: 172.77 Å³/cell
* D(E_F): 0.66 states/eV/atom

a = 4.490 Å, b = 3.701 Å, c = 10.395 Å
α = 90.00°, β = 90.00°, γ = 90.00°
Space group Amm2 (No. 38)
Inequivalent atoms, fractional coordinates:
1 Y 0.000 0.000 0.000 (multiplicity 2)
2 Y 0.500 0.000 0.280 (multiplicity 2)
3 Rh 0.500 0.000 0.548 (multiplicity 2)
4 Au 0.000 0.000 0.720 (multiplicity 2)

La2AlTe | PBEsol | optimized geometry

Output
* raw formation energy: -0.81 eV/atom
* VASP energy: -5.387 eV/atom
* calculated volume: 221.03 Å³/cell
* energy above the lowest structure with this stoichiometry: 2 kJ/mol of formula units
* D(E_F): 0.78 states/eV/atom

a = 6.796 Å, b = 8.480 Å, c = 3.835 Å
α = 90.00°, β = 90.00°, γ = 90.00°
Space group Cmmm (No. 65)
Inequivalent atoms, fractional coordinates:
1 La 0.250 0.250 0.000 (multiplicity 4)
2 Al 0.000 0.000 0.500 (multiplicity 2)
3 Te 0.000 0.500 0.500 (multiplicity 2)

Ti3BiAs | PBEsol | optimized geometry

Output
* calculated formation energy: 0.018 eV/atom
* VASP energy: -6.854 eV/atom
* calculated volume: 104.45 Å³/cell
* D(E_F): 1.55 states/eV/atom

a = 4.709 Å, b = 4.709 Å, c = 4.709 Å
α = 90.00°, β = 90.00°, γ = 90.00°
Space group Pm-3m (No. 221)
Inequivalent atoms, fractional coordinates:
1 Ti 0.000 0.000 0.500 (multiplicity 3)
2 Bi 0.500 0.500 0.500 (multiplicity 1)
3 As 0.000 0.000 0.000 (multiplicity 1)

RbInTeI2 | PBEsol | optimized geometry

Output
* raw formation energy: -0.60 eV/atom
* VASP energy: -2.814 eV/atom
* calculated volume: 202.64 Å³/cell
* D(E_F): 0.73 states/eV/atom

a = 5.998 Å, b = 5.998 Å, c = 5.633 Å
α = 90.00°, β = 90.00°, γ = 90.00°
Space group P4/mmm (No. 123)
Inequivalent atoms, fractional coordinates:
1 Rb 0.000 0.000 0.000 (multiplicity 1)
2 In 0.500 0.500 0.500 (multiplicity 1)
3 Te 0.500 0.500 0.000 (multiplicity 1)
4 I 0.000 0.500 0.500 (multiplicity 2)

NaTiRe2Mo | PBEsol | optimized geometry

Output
* calculated formation energy: 1.961 eV/atom
* VASP energy: -7.670 eV/atom
* calculated volume: 100.20 Å³/cell
* D(E_F): 1.18 states/eV/atom

a = 4.603 Å, b = 4.603 Å, c = 4.728 Å
α = 90.00°, β = 90.00°, γ = 90.00°
Space group P4/mmm (No. 123)
Inequivalent atoms, fractional coordinates:
1 Na 0.000 0.000 0.000 (multiplicity 1)
2 Ti 0.500 0.500 0.000 (multiplicity 1)
3 Re 0.000 0.500 0.500 (multiplicity 2)
4 Mo 0.000 0.000 0.500 (multiplicity 1)

CaTlCl2 | PBEsol | optimized geometry

Output
* raw formation energy: -1.15 eV/atom
* VASP energy: -3.343 eV/atom
* calculated volume: 333.21 Å³/cell
* energy above the lowest structure with this stoichiometry: 69 kJ/mol of formula units
* D(E_F): 0.46 states/eV/atom

a = 3.9100 Å, b = 3.9100 Å, c = 25.1676 Å
α = 90.00°, β = 90.00°, γ = 120.00°
Space group R3m (No. 160, hexagonal axes)
Inequivalent atoms, fractional coordinates:
1 Ca 0.0000 0.0000 0.0000 (multiplicity 3)
2 Tl 0.0000 0.0000 0.7611 (multiplicity 3)
3 Cl 0.0000 0.0000 0.2786 (multiplicity 3)
4 Cl 0.0000 0.0000 0.4994 (multiplicity 3)

InNi2Os | PBEsol | optimized geometry

Output
* calculated formation energy: 0.319 eV/atom
* VASP energy: -6.560 eV/atom
* calculated volume: 54.58 Å³/cell
* D(E_F): 1.20 states/eV/atom

a = 4.506 Å, b = 2.721 Å, c = 4.722 Å
α = 90.00°, β = 109.48°, γ = 90.00°
Space group P2/m (No. 10)
Inequivalent atoms, fractional coordinates:
1 In 0.000 0.000 0.000 (multiplicity 1)
2 Ni 0.500 0.000 0.500 (multiplicity 1)
3 Ni 0.500 0.500 0.000 (multiplicity 1)
4 Os 0.000 0.500 0.500 (multiplicity 1)

Mg2FeP | PBEsol | optimized geometry

Output
* calculated formation energy: 0.082 eV/atom
* VASP energy: -4.465 eV/atom
* calculated volume: 117.48 Å³/cell
* D(E_F): 0.48 states/eV/atom

a = 3.756 Å, b = 3.756 Å, c = 8.329 Å
α = 90.00°, β = 90.00°, γ = 90.00°
Space group I4/mmm (No. 139)
Inequivalent atoms, fractional coordinates:
1 Mg 0.000 0.500 0.250 (multiplicity 4)
2 Fe 0.000 0.000 0.000 (multiplicity 2)
3 P 0.000 0.000 0.500 (multiplicity 2)

Tl2AsPt | PBEsol | optimized geometry

Output
* calculated formation energy: -0.120 eV/atom
* VASP energy: -4.453 eV/atom
* calculated volume: 199.61 Å³/cell
* energy above the lowest structure with this stoichiometry: 0 kJ/mol of formula units
* D(E_F): 0.35 states/eV/atom

a = 7.396 Å, b = 4.052 Å, c = 7.056 Å
α = 90.00°, β = 109.29°, γ = 90.00°
Space group Cm (No. 8)
Inequivalent atoms, fractional coordinates:
1 Tl 0.000 0.000 0.000 (multiplicity 2)
2 Tl 0.210 0.000 0.635 (multiplicity 2)
3 As 0.443 0.000 0.334 (multiplicity 2)
4 Pt 0.253 0.500 0.282 (multiplicity 2)

ZrInSb2Te | PBEsol | optimized geometry

Output
* raw formation energy: 0.07 eV/atom
* VASP energy: -4.872 eV/atom
* calculated volume: 167.64 Å³/cell
* D(E_F): 0.90 states/eV/atom

a = 5.520 Å, b = 5.520 Å, c = 5.503 Å
α = 90.00°, β = 90.00°, γ = 90.00°
Space group P4/mmm (No. 123)
Inequivalent atoms, fractional coordinates:
1 Zr 0.000 0.000 0.000 (multiplicity 1)
2 In 0.500 0.500 0.500 (multiplicity 1)
3 Sb 0.000 0.500 0.000 (multiplicity 2)
4 Te 0.000 0.000 0.500 (multiplicity 1)

K2CaAg | PBEsol | optimized geometry

Output
* calculated formation energy: 0.022 eV/atom
* VASP energy: -1.905 eV/atom
* calculated volume: 167.63 Å³/cell
* energy above the lowest structure with this stoichiometry: 0 kJ/mol of formula units
* D(E_F): 0.70 states/eV/atom

a = 3.924 Å, b = 3.924 Å, c = 10.884 Å
α = 90.00°, β = 90.00°, γ = 90.00°
Space group P4mm (No. 99)
Inequivalent atoms, fractional coordinates:
1 K 0.000 0.000 0.000 (multiplicity 1)
2 K 0.500 0.500 0.357 (multiplicity 1)
3 Ca 0.500 0.500 0.698 (multiplicity 1)
4 Ag 0.000 0.000 0.572 (multiplicity 1)